Record 1
A plane-wave DFT calculation with PBE-GGA was carried out for crystalline Ac5PuPb4 at its relaxed geometry.

Output
Raw total energy ... -104.813 eV for the cell shown
Energy relative to the elements ... -6.2 kcal/mol of atoms

Lattice parameters (Å, degrees): 17.731 5.749 7.819 90.00 90.25 90.00
Space group C2/m (No. 12)
Asymmetric unit:
Ac 0.000 0.000 0.000
Ac 0.163 0.500 0.494
Ac 0.166 0.500 0.004
Pu 0.000 0.000 0.500
Pb 0.007 0.500 0.743
Pb 0.174 0.000 0.252



Record 2
A plane-wave DFT calculation with PBE-GGA was carried out for crystalline BaCrRh at its relaxed geometry.

Output
Raw total energy ... -18.071 eV for the cell shown
Energy relative to the elements ... 6.4 kcal/mol of atoms
E above lowest polymorph ... 0 meV/atom

Lattice parameters (Å, degrees): 4.3088 4.3088 5.0246 90.00 90.00 120.00
Space group P-6m2 (No. 187)
Asymmetric unit:
Ba 0.0000 0.0000 0.0000
Cr 0.6667 0.3333 0.5000
Rh 0.3333 0.6667 0.5000



Record 3
A plane-wave DFT calculation with PBE-GGA was carried out for crystalline Th3Ti5N12 at its relaxed geometry.

Output
Raw total energy ... -1475.492 eV for the cell shown
Raw formation energy ... -1139.9 meV per atom

Lattice parameters (Å, degrees): 12.864 12.864 12.864 90.00 90.00 90.00
Space group Ia-3d (No. 230)
Asymmetric unit:
Th 0.000 0.250 0.125
Ti 0.000 0.000 0.000
Ti 0.000 0.250 0.375
N 0.028 0.055 0.650



Record 4
A plane-wave DFT calculation with PBE-GGA was carried out for crystalline Pr2YHo5Tm at its relaxed geometry.

Output
Raw total energy ... -163.734 eV for the cell shown
Energy relative to the elements ... 6.3 kcal/mol of atoms

Lattice parameters (Å, degrees): 8.596 8.596 15.815 90.00 90.00 90.00
Space group I4/mcm (No. 140)
Asymmetric unit:
Pr 0.119 0.381 0.000
Y 0.000 0.000 0.250
Ho 0.000 0.000 0.000
Ho 0.214 0.286 0.358
Tm 0.000 0.500 0.250